1.
Material: SrIrRu2
Method: DFT, meta-GGA SCAN
State: PBEsol geometry

E   -161.2 eV/cell
Energy of formation from the pure elements   1.87 eV per formula unit
Space group   Cm, No. 8
Energy above the lowest structure with this stoichiometry   0.0 meV per atom
Size of the total moment   1.1 μB per formula unit
DOS(E_F)   0.820 states/eV/atom

Lattice parameters (Å, degrees): 2.8007 4.6772 5.8664 98.30 90.00 107.42
Last column: nearest neighbours and their distance in Å.
Positions (direct):
1 Ru 0.0003 0.0006 0.0095  5 Ru 2.57-2.80, 3 Ir 2.64-2.75
2 Ru 0.7351 0.4702 0.1673  2 Ir 2.52, 5 Ru 2.57-2.80
3 Ir 0.2637 0.5275 0.8201  5 Ru 2.52-2.75, 2 Ir 2.80
4 Sr 0.5009 0.0017 0.5031  2 Sr 2.80, 3 Ir 3.02-3.10, 1 Ru 3.08

***

2.
Material: ZrOs2Se
Method: DFT, meta-GGA SCAN
State: PBEsol geometry

E   -194.4 eV/cell
Space group   Pmm2, No. 25
ΔE_f (raw)   0.03 eV/atom
Size of the total moment   0.0 μB per formula unit
DOS(E_F)   0.645 states/eV/atom

Lattice parameters (Å, degrees): 2.9696 3.8699 5.7146 90.00 90.00 90.00
Last column: nearest neighbours and their distance in Å.
Positions (direct):
1 Zr 0.5000 0.5000 0.7358  6 Os 2.72-3.03, 4 Se 2.78, 2 Zr 2.97
2 Os 0.0000 0.0000 0.0503  1 Se 2.58, 4 Os 2.61
3 Os 0.5000 0.5000 0.2112  4 Os 2.61, 1 Zr 2.72
4 Se 0.0000 0.0000 0.5027  1 Os 2.58, 4 Zr 2.78

***

3.
Material: MnBe3Tl
Method: DFT, meta-GGA SCAN
State: PBEsol geometry

E   -97.9 eV/cell
Energy of formation from the pure elements   5.80 eV per formula unit
Space group   Pm-3m, No. 221
Energy above the lowest structure with this stoichiometry   265.9 meV per atom
Size of the total moment   4.6 μB per formula unit
DOS(E_F)   0.278 states/eV/atom

Lattice parameters (Å, degrees): 4.4550 4.4550 4.4550 90.00 90.00 90.00
Last column: nearest neighbours and their distance in Å.
Positions (direct):
1 Be 0.0000 0.0000 0.5000  2 Tl 2.23
2 Be 0.5000 0.0000 0.0000  2 Tl 2.23
3 Be 0.0000 0.5000 0.0000  2 Tl 2.23
4 Mn 0.5000 0.5000 0.5000  12 Be 3.15
5 Tl 0.0000 0.0000 0.0000  6 Be 2.23

***

4.
Material: CuMo3Au
Method: DFT, meta-GGA SCAN
State: PBEsol geometry

E   -176.5 eV/cell
Energy of formation from the pure elements   12.56 eV per formula unit
Space group   Pm-3m, No. 221
Size of the total moment   0.0 μB per formula unit
DOS(E_F)   1.039 states/eV/atom

Lattice parameters (Å, degrees): 4.7497 4.7497 4.7497 90.00 90.00 90.00
Last column: nearest neighbours and their distance in Å.
Positions (direct):
1 Mo 0.5000 0.0000 0.0000  2 Au 2.37
2 Mo 0.0000 0.0000 0.5000  2 Au 2.37
3 Mo 0.0000 0.5000 0.0000  2 Au 2.37
4 Au 0.0000 0.0000 0.0000  6 Mo 2.37
5 Cu 0.5000 0.5000 0.5000  12 Mo 3.36

***

5.
Material: Tl2Sn2Bi
Method: DFT, meta-GGA SCAN
State: PBEsol geometry

E   -294.2 eV/cell
Energy of formation from the pure elements   0.97 eV per formula unit
Space group   I4/mmm, No. 139
Size of the total moment   0.0 μB per formula unit
DOS(E_F)   0.661 states/eV/atom

Lattice parameters (Å, degrees): 4.1515 4.1515 9.0842 103.21 103.21 90.00
Last column: nearest neighbours and their distance in Å.
Positions (direct):
1 Tl 0.5962 0.5962 0.1923  1 Tl 3.31, 4 Sn 3.36, 4 Bi 3.37
2 Tl 0.4038 0.4038 0.8077  1 Tl 3.31, 4 Sn 3.36, 4 Bi 3.37
3 Bi 0.0000 0.0000 0.0000  8 Tl 3.37
4 Sn 0.7500 0.2500 0.5000  4 Sn 2.94
5 Sn 0.2500 0.7500 0.5000  4 Sn 2.94

***

6.
Material: RbTcPC2
Method: DFT, meta-GGA SCAN
State: PBEsol geometry

E   -66.5 eV/cell
Energy of formation from the pure elements   19.91 eV per formula unit
Space group   P4/mmm, No. 123
Size of the total moment   1.8 μB per formula unit
DOS(E_F)   0.359 states/eV/atom

Lattice parameters (Å, degrees): 4.1864 4.1864 5.0594 90.00 90.00 90.00
Last column: nearest neighbours and their distance in Å.
Positions (direct):
1 Tc 0.5000 0.5000 0.5000  4 P 2.96, 8 C 3.28
2 C 0.5000 0.0000 0.0000  2 Rb 2.09
3 C 0.0000 0.5000 0.0000  2 Rb 2.09
4 P 0.0000 0.0000 0.5000  2 Rb 2.53
5 Rb 0.0000 0.0000 0.0000  4 C 2.09

***

7.
Material: Dy2Te4O11
Method: DFT, meta-GGA SCAN
State: PBEsol geometry

E   -695.4 eV/cell
Space group   C2/c, No. 15
ΔE_f (raw)   -2.03 eV/atom
Size of the total moment   0.0 μB per formula unit
DOS(E_F)   0.000 states/eV/atom

Lattice parameters (Å, degrees): 5.0859 6.6380 15.5969 80.77 80.62 67.47
Last column: nearest neighbours and their distance in Å.
Positions (direct):
1 O 0.0895 0.3649 0.3300  1 Te 1.86
2 O 0.2157 0.8649 0.8300  1 Te 1.86
3 O 0.8112 0.6335 0.8702  1 Te 1.94
4 O 0.8638 0.2500 0.7500  2 Te 2.04
5 O 0.6851 0.1335 0.3702  1 Te 1.94
6 O 0.1362 0.7500 0.2500  2 Te 2.04
7 O 0.3149 0.8665 0.6298  1 Te 1.94
8 O 0.7843 0.1351 0.1700  1 Te 1.86
9 O 0.4449 0.5495 0.4034  1 Te 1.93
10 O 0.0404 0.1807 0.9545  1 Te 1.88
11 O 0.5551 0.4505 0.5966  1 Te 1.93
12 O 0.3978 0.9505 0.0966  1 Te 1.93
13 O 0.9105 0.6351 0.6700  1 Te 1.86
14 O 0.1888 0.3665 0.1298  1 Te 1.94
15 O 0.6022 0.0495 0.9034  1 Te 1.93
16 O 0.8245 0.6807 0.4545  1 Te 1.88
17 O 0.7537 0.0302 0.5532  1 Te 1.89
18 O 0.9596 0.8193 0.0455  1 Te 1.88
19 O 0.1755 0.3193 0.5455  1 Te 1.88
20 O 0.3371 0.4698 0.9468  1 Te 1.89
21 O 0.2463 0.9698 0.4468  1 Te 1.89
22 O 0.6629 0.5302 0.0532  1 Te 1.89
23 Dy 0.3715 0.7988 0.9633  8 O 2.24-2.49
24 Dy 0.6285 0.2012 0.0367  8 O 2.24-2.49
25 Dy 0.8665 0.2988 0.4633  8 O 2.24-2.49
26 Dy 0.1335 0.7012 0.5367  8 O 2.24-2.49
27 Te 0.5966 0.5492 0.7017  3 O 1.86-2.04
28 Te 0.1605 0.3764 0.8713  3 O 1.88-1.94
29 Te 0.8475 0.9508 0.7983  3 O 1.86-2.04
30 Te 0.1525 0.0492 0.2017  3 O 1.86-2.04
31 Te 0.4034 0.4508 0.2983  3 O 1.86-2.04
32 Te 0.5919 0.8764 0.3713  3 O 1.88-1.94
33 Te 0.4081 0.1236 0.6287  3 O 1.88-1.94
34 Te 0.8395 0.6236 0.1287  3 O 1.88-1.94

***

8.
Material: Mn2TcAu
Method: DFT, meta-GGA SCAN
State: PBEsol geometry

E   -140.4 eV/cell
Energy of formation from the pure elements   0.35 eV per formula unit
Space group   Pmm2, No. 25
Size of the total moment   0.5 μB per formula unit
DOS(E_F)   0.871 states/eV/atom

Lattice parameters (Å, degrees): 2.6665 3.6155 5.3977 90.00 90.00 90.00
Last column: nearest neighbours and their distance in Å.
Positions (direct):
1 Tc 0.0000 0.0000 0.4563  1 Mn 2.23
2 Mn 0.5000 0.5000 0.2397  6 Mn 2.48-2.67, 4 Tc 2.53, 1 Au 2.59
3 Mn 0.0000 0.0000 0.0438  1 Tc 2.23, 4 Mn 2.48
4 Au 0.5000 0.5000 0.7602  6 Mn 2.59-2.81, 2 Au 2.67, 4 Tc 2.78

***

> Look up the DOS(E_F) of the sixth one.

0.359 states/eV/atom

***

> Which formula does entry 8 have?

Mn2TcAu